Entry 1:
{"formula": "La2CoAg2", "functional": "PBE", "state": "relaxed", "rho_g_cm3": 6.83, "de_polymorph_mev_per_atom": 145, "ef_ev_per_fu": 0.9, "cell": [[7.6676, 0.0000, 0.0000], [0.0000, 7.6676, 0.0000], [0.0000, 0.0000, 4.5685]], "species": ["La", "La", "La", "La", "Co", "Co", "Ag", "Ag", "Ag", "Ag"], "frac_coords": [[0.1758, 0.3242, 0.0000], [0.3242, 0.8242, 0.0000], [0.6758, 0.1758, 0.0000], [0.8242, 0.6758, 0.0000], [0.0000, 0.0000, 0.0000], [0.5000, 0.5000, 0.0000], [0.1289, 0.6289, 0.5000], [0.3711, 0.1289, 0.5000], [0.6289, 0.8711, 0.5000], [0.8711, 0.3711, 0.5000]]}

***

Entry 2:
{"formula": "LaCo2Ag", "functional": "PBE", "state": "relaxed", "rho_g_cm3": 6.90, "ef_ev_per_fu": 1.5, "cell": [[-2.2124, 2.2124, 8.9686], [2.2124, -2.2124, 8.9686], [2.2124, 2.2124, -8.9686]], "species": ["La", "La", "Co", "Co", "Co", "Co", "Ag", "Ag"], "frac_coords": [[0.0000, 0.0000, 0.0000], [0.7500, 0.2500, 0.5000], [0.3237, 0.6250, 0.1987], [0.3750, 0.5737, 0.6987], [0.4263, 0.1250, 0.8013], [0.8750, 0.6763, 0.3013], [0.2500, 0.7500, 0.5000], [0.5000, 0.5000, 0.0000]]}

***

Entry 3:
{"formula": "LaCo4Ag2", "functional": "PBE", "state": "relaxed", "rho_g_cm3": 7.14, "ef_ev_per_fu": 9.2, "cell": [[-2.3147, 2.3147, 6.4088], [2.3147, -2.3147, 6.4088], [2.3147, 2.3147, -6.4088]], "species": ["La", "Co", "Co", "Co", "Co", "Ag", "Ag"], "frac_coords": [[0.0000, 0.0000, 0.0000], [0.0000, 0.5000, 0.5000], [0.1924, 0.1924, 0.0000], [0.5000, 0.0000, 0.5000], [0.8076, 0.8076, 0.0000], [0.3884, 0.3884, 0.0000], [0.6116, 0.6116, 0.0000]]}

***

Entry 4:
{"formula": "La7Co2Ag2", "functional": "PBE", "state": "relaxed", "rho_g_cm3": 6.56, "de_polymorph_mev_per_atom": 31, "ef_ev_per_fu": -1.1, "cell": [[3.9413, -5.8524, 0.0000], [3.9413, 5.8524, 0.0000], [0.0000, 0.0000, 7.1615]], "species": ["La", "La", "La", "La", "La", "La", "La", "Co", "Co", "Ag", "Ag"], "frac_coords": [[0.0000, 0.0000, 0.0000], [0.0000, 0.5000, 0.2505], [0.0000, 0.5000, 0.7495], [0.5000, 0.0000, 0.2505], [0.5000, 0.0000, 0.7495], [0.5000, 0.5000, 0.2381], [0.5000, 0.5000, 0.7619], [0.2980, 0.7020, 0.0000], [0.7020, 0.2980, 0.0000], [0.1723, 0.1723, 0.5000], [0.8277, 0.8277, 0.5000]]}

***

Entry 5:
{"formula": "La5CoAg", "functional": "PBE", "state": "relaxed", "rho_g_cm3": 6.70, "ef_ev_per_fu": -0.4, "cell": [[5.1314, -3.6503, 0.0000], [5.1314, 3.6503, 0.0000], [-3.6884, 0.0000, 11.3923]], "species": ["La", "La", "La", "La", "La", "La", "La", "La", "La", "La", "Co", "Co", "Ag", "Ag"], "frac_coords": [[0.0251, 0.9749, 0.7500], [0.0486, 0.4290, 0.1368], [0.1978, 0.5741, 0.4496], [0.4259, 0.8022, 0.0504], [0.4290, 0.0486, 0.6368], [0.5710, 0.9514, 0.3632], [0.5741, 0.1978, 0.9496], [0.8022, 0.4259, 0.5504], [0.9514, 0.5710, 0.8632], [0.9749, 0.0251, 0.2500], [0.0000, 0.0000, 0.0000], [0.0000, 0.0000, 0.5000], [0.4490, 0.5510, 0.7500], [0.5510, 0.4490, 0.2500]]}

***

Entry 6:
{"formula": "LaCo2Ag", "functional": "PBE", "state": "relaxed", "rho_g_cm3": 8.85, "ef_ev_per_fu": 1.3, "cell": [[0.0000, 3.2460, 3.2460], [3.2460, 0.0000, 3.2460], [3.2460, 3.2460, 0.0000]], "species": ["La", "Co", "Co", "Ag"], "frac_coords": [[0.0000, 0.0000, 0.0000], [0.2500, 0.2500, 0.2500], [0.7500, 0.7500, 0.7500], [0.5000, 0.5000, 0.5000]]}

***

Entry 7:
{"formula": "La6Co3Ag", "functional": "PBE", "state": "relaxed", "rho_g_cm3": 6.57, "ef_ev_per_fu": -1.3, "cell": [[12.0175, 0.0000, 0.0000], [0.0000, 4.0714, 0.0000], [-4.6397, 0.0000, 11.5519]], "species": ["La", "La", "La", "La", "La", "La", "La", "La", "La", "La", "La", "La", "Co", "Co", "Co", "Co", "Co", "Co", "Ag", "Ag"], "frac_coords": [[0.0376, 0.2500, 0.3719], [0.0961, 0.7500, 0.9438], [0.2525, 0.2500, 0.7958], [0.2536, 0.7500, 0.2700], [0.4196, 0.2500, 0.5730], [0.4375, 0.2500, 0.1072], [0.5625, 0.7500, 0.8928], [0.5804, 0.7500, 0.4270], [0.7464, 0.2500, 0.7300], [0.7475, 0.7500, 0.2042], [0.9039, 0.2500, 0.0562], [0.9624, 0.7500, 0.6281], [0.0052, 0.2500, 0.7882], [0.3352, 0.7500, 0.9525], [0.4104, 0.2500, 0.3406], [0.5896, 0.7500, 0.6594], [0.6648, 0.2500, 0.0475], [0.9948, 0.7500, 0.2118], [0.2078, 0.7500, 0.5696], [0.7922, 0.2500, 0.4304]]}

***

Entry 8:
{"formula": "LaCoAg", "functional": "PBE", "state": "relaxed", "rho_g_cm3": 7.97, "ef_ev_per_fu": 0.5, "cell": [[-1.7626, 1.7626, 5.1247], [1.7626, -1.7626, 5.1247], [1.7626, 1.7626, -5.1247]], "species": ["La", "Co", "Ag"], "frac_coords": [[0.0000, 0.0000, 0.0000], [0.3309, 0.3309, 0.0000], [0.7067, 0.7067, 0.0000]]}

***

Entry 9:
{"formula": "La4Co2Ag5", "functional": "PBE", "state": "relaxed", "rho_g_cm3": 7.65, "ef_ev_per_fu": -2.1, "cell": [[7.5324, 0.0000, 0.0000], [0.0000, 3.9425, 0.0000], [-0.6654, 0.0000, 8.8606]], "species": ["La", "La", "La", "La", "Co", "Co", "Ag", "Ag", "Ag", "Ag", "Ag"], "frac_coords": [[0.1925, 0.0000, 0.3396], [0.2266, 0.0000, 0.9158], [0.7734, 0.0000, 0.0842], [0.8075, 0.0000, 0.6604], [0.0577, 0.5000, 0.1286], [0.9423, 0.5000, 0.8714], [0.1603, 0.5000, 0.6303], [0.4460, 0.5000, 0.1632], [0.5000, 0.5000, 0.5000], [0.5540, 0.5000, 0.8368], [0.8397, 0.5000, 0.3697]]}

***

Entry 10:
{"formula": "LaCoAg", "functional": "PBE", "state": "relaxed", "rho_g_cm3": 7.81, "ef_ev_per_fu": -0.4, "cell": [[6.3798, -2.1345, 0.0000], [6.3798, 2.1345, 0.0000], [-0.9862, 0.0000, 4.7711]], "species": ["La", "La", "Co", "Co", "Ag", "Ag"], "frac_coords": [[0.1267, 0.1267, 0.3212], [0.8733, 0.8733, 0.6788], [0.2194, 0.2194, 0.9232], [0.7806, 0.7806, 0.0768], [0.4213, 0.4213, 0.2113], [0.5787, 0.5787, 0.7887]]}

***

Entry 11:
{"formula": "LaCo2Ag", "functional": "PBE", "state": "relaxed", "rho_g_cm3": 7.66, "ef_ev_per_fu": 0.2, "cell": [[2.0626, 1.1908, 5.3627], [-2.0626, 1.1908, 5.3627], [0.0000, -2.3816, 5.3627]], "species": ["La", "Co", "Co", "Ag"], "frac_coords": [[0.0000, 0.0000, 0.0000], [0.4589, 0.4589, 0.4589], [0.7890, 0.7890, 0.7890], [0.1997, 0.1997, 0.1997]]}

***

Entry 12:
{"formula": "LaCoAg", "functional": "PBE", "state": "relaxed", "rho_g_cm3": 7.35, "ef_ev_per_fu": 0.4, "cell": [[0.0000, 3.2558, 3.2558], [3.2558, 0.0000, 3.2558], [3.2558, 3.2558, 0.0000]], "species": ["La", "Co", "Ag"], "frac_coords": [[0.0000, 0.0000, 0.0000], [0.2500, 0.2500, 0.2500], [0.5000, 0.5000, 0.5000]]}